# UMnOs, relaxed, DFT PBE-GGA
# * final energy: -62.50 eV per cell
# * E above lowest polymorph: 27.58 kJ/mol of atoms
# * volume: 17.02 Å³ per atom
data_UMnOs
_cell_length_a 3.629
_cell_length_b 3.629
_cell_length_c 7.755
_cell_angle_alpha 90.00
_cell_angle_beta 90.00
_cell_angle_gamma 90.00
_space_group_name_H-M_alt 'I 4 m m'
_space_group_IT_number 107
_space_group_name_Hall 'I 4 -2'
loop_
_atom_site_label
_atom_site_type_symbol
_atom_site_fract_x
_atom_site_fract_y
_atom_site_fract_z
_atom_site_occupancy
U1 U 0.000 0.000 0.000 1
Mn1 Mn 0.000 0.000 0.714 1
Os1 Os 0.000 0.000 0.323 1

# UMn17Os, relaxed, DFT PBE-GGA
# * final energy: -526.89 eV per cell
# * volume: 11.91 Å³ per atom
data_UMn17Os
_cell_length_a 8.0429
_cell_length_b 8.0429
_cell_length_c 12.1226
_cell_angle_alpha 90.00
_cell_angle_beta 90.00
_cell_angle_gamma 120.00
_space_group_name_H-M_alt 'R 3 m'
_space_group_IT_number 160
_space_group_name_Hall 'R 3 -2"'
loop_
_atom_site_label
_atom_site_type_symbol
_atom_site_fract_x
_atom_site_fract_y
_atom_site_fract_z
_atom_site_occupancy
U1 U 0.0000 0.0000 0.0000 1
Mn1 Mn 0.0000 0.0000 0.5582 1
Mn2 Mn 0.0000 0.0000 0.7462 1
Mn3 Mn 0.0024 0.5012 0.1472 1
Mn4 Mn 0.0391 0.3637 0.3107 1
Mn5 Mn 0.1694 0.3388 0.1283 1
Mn6 Mn 0.1693 0.3386 0.8307 1
Os1 Os 0.0000 0.0000 0.3255 1

# MnV2Os2, relaxed, DFT PBE-GGA
# * final energy: -98.36 eV per cell
# * E above lowest polymorph: 3.41 kJ/mol of atoms
# * volume: 14.71 Å³ per atom
data_MnV2Os2
_cell_length_a 7.216
_cell_length_b 7.216
_cell_length_c 2.825
_cell_angle_alpha 90.00
_cell_angle_beta 90.00
_cell_angle_gamma 90.00
_space_group_name_H-M_alt 'P 4/m b m'
_space_group_IT_number 127
_space_group_name_Hall '-P 4 2ab'
loop_
_atom_site_label
_atom_site_type_symbol
_atom_site_fract_x
_atom_site_fract_y
_atom_site_fract_z
_atom_site_occupancy
Mn1 Mn 0.000 0.000 0.000 1
V1 V 0.146 0.354 0.000 1
Os1 Os 0.152 0.652 0.500 1

# Mn3VOs, relaxed, DFT PBE-GGA
# * final energy: -41.27 eV per cell
# * E above lowest polymorph: 0.00 kJ/mol of atoms
# * volume: 15.17 Å³ per atom
data_Mn3VOs
_cell_length_a 4.233
_cell_length_b 4.233
_cell_length_c 4.233
_cell_angle_alpha 90.00
_cell_angle_beta 90.00
_cell_angle_gamma 90.00
_space_group_name_H-M_alt 'P m -3 m'
_space_group_IT_number 221
_space_group_name_Hall '-P 4 2 3'
loop_
_atom_site_label
_atom_site_type_symbol
_atom_site_fract_x
_atom_site_fract_y
_atom_site_fract_z
_atom_site_occupancy
Mn1 Mn 0.000 0.000 0.500 1
V1 V 0.000 0.000 0.000 1
Os1 Os 0.500 0.500 0.500 1

# MnV5Os4, relaxed, DFT PBE-GGA
# * final energy: -102.19 eV per cell
# * volume: 13.42 Å³ per atom
data_MnV5Os4
_cell_length_a 2.983
_cell_length_b 2.983
_cell_length_c 15.087
_cell_angle_alpha 90.00
_cell_angle_beta 90.00
_cell_angle_gamma 90.00
_space_group_name_H-M_alt 'P 4/m m m'
_space_group_IT_number 123
_space_group_name_Hall '-P 4 2'
loop_
_atom_site_label
_atom_site_type_symbol
_atom_site_fract_x
_atom_site_fract_y
_atom_site_fract_z
_atom_site_occupancy
Mn1 Mn 0.000 0.000 0.000 1
V1 V 0.500 0.500 0.091 1
V2 V 0.500 0.500 0.296 1
V3 V 0.500 0.500 0.500 1
Os1 Os 0.000 0.000 0.194 1
Os2 Os 0.000 0.000 0.399 1

# MnVOs3, relaxed, DFT PBE-GGA
# * final energy: -43.96 eV per cell
# * E above lowest polymorph: 3.69 kJ/mol of atoms
# * volume: 17.89 Å³ per atom
data_MnVOs3
_cell_length_a 4.473
_cell_length_b 4.473
_cell_length_c 4.473
_cell_angle_alpha 90.00
_cell_angle_beta 90.00
_cell_angle_gamma 90.00
_space_group_name_H-M_alt 'P m -3 m'
_space_group_IT_number 221
_space_group_name_Hall '-P 4 2 3'
loop_
_atom_site_label
_atom_site_type_symbol
_atom_site_fract_x
_atom_site_fract_y
_atom_site_fract_z
_atom_site_occupancy
Mn1 Mn 0.000 0.000 0.000 1
V1 V 0.500 0.500 0.500 1
Os1 Os 0.000 0.500 0.500 1

# Mn4V2Os, relaxed, DFT PBE-GGA
# * final energy: -117.07 eV per cell
# * volume: 18.06 Å³ per atom
data_Mn4V2Os
_cell_length_a 4.458
_cell_length_b 4.458
_cell_length_c 12.721
_cell_angle_alpha 90.00
_cell_angle_beta 90.00
_cell_angle_gamma 90.00
_space_group_name_H-M_alt 'I 4/m m m'
_space_group_IT_number 139
_space_group_name_Hall '-I 4 2'
loop_
_atom_site_label
_atom_site_type_symbol
_atom_site_fract_x
_atom_site_fract_y
_atom_site_fract_z
_atom_site_occupancy
Mn1 Mn 0.000 0.000 0.200 1
Mn2 Mn 0.000 0.500 0.000 1
V1 V 0.000 0.000 0.393 1
Os1 Os 0.000 0.000 0.000 1

# Mn2VOs, relaxed, DFT PBE-GGA
# * final energy: -155.05 eV per cell
# * E above lowest polymorph: 2.93 kJ/mol of atoms
# * volume: 13.04 Å³ per atom
data_Mn2VOs
_cell_length_a 5.931
_cell_length_b 5.931
_cell_length_c 5.931
_cell_angle_alpha 90.00
_cell_angle_beta 90.00
_cell_angle_gamma 90.00
_space_group_name_H-M_alt 'F m -3 m'
_space_group_IT_number 225
_space_group_name_Hall '-F 4 2 3'
loop_
_atom_site_label
_atom_site_type_symbol
_atom_site_fract_x
_atom_site_fract_y
_atom_site_fract_z
_atom_site_occupancy
Mn1 Mn 0.250 0.250 0.250 1
V1 V 0.000 0.000 0.000 1
Os1 Os 0.000 0.000 0.500 1

What is the formula in the eighth record? Mn2VOs